This record from the Alexandria database describes a geometry-optimized Dy2TePd structure. The functional is PBE.

## Properties
As for the formation energy from raw total energies: -1053.4 meV/atom. For the density of states at the Fermi level, the calculation gives 1.1 states/eV/f.u. The calculation puts the total energy at -5.438 eV/atom. For the excess energy over the best structure of this formula in the dataset, the calculation gives 2.3 kJ/mol of atoms. For the theoretical density, the calculation gives 8.5 g/cm3.

```
data_Dy2TePd
_chemical_formula_sum 'Dy2 Te1 Pd1'
_space_group_name_H-M_alt 'P 1'
_space_group_IT_number 1
_cell_length_a 7.6757
_cell_length_b 7.6757
_cell_length_c 7.6757
_cell_angle_alpha 31.53
_cell_angle_beta 31.53
_cell_angle_gamma 31.53
loop_
_space_group_symop_operation_xyz
'x,y,z'
loop_
_atom_site_label
_atom_site_fract_x
_atom_site_fract_y
_atom_site_fract_z
Dy1 0.0000 0.0000 0.0000
Dy2 0.1933 0.1933 0.1933
Te1 0.4295 0.4295 0.4295
Pd1 0.5960 0.5960 0.5960
```

=====

This record from the Alexandria database describes a geometry-optimized LiAg2HgCl5 structure. The functional is PBE.

## Properties
As for the formation energy from raw total energies: -754.9 meV/atom. The calculation puts the total energy at -2.661 eV/atom. For the theoretical density, the calculation gives 4.2 g/cm3.

```
data_LiAg2HgCl5
_chemical_formula_sum 'Li2 Ag4 Hg2 Cl10'
_space_group_name_H-M_alt 'P 1'
_space_group_IT_number 1
_cell_length_a 8.4977
_cell_length_b 8.4977
_cell_length_c 14.4029
_cell_angle_alpha 90.00
_cell_angle_beta 90.00
_cell_angle_gamma 152.87
loop_
_space_group_symop_operation_xyz
'x,y,z'
loop_
_atom_site_label
_atom_site_fract_x
_atom_site_fract_y
_atom_site_fract_z
Li1 0.1434 0.8566 0.5000
Li2 0.8566 0.1434 0.0000
Ag1 0.4380 0.5620 0.7794
Ag2 0.4560 0.5440 0.5083
Ag3 0.5440 0.4560 0.0083
Ag4 0.5620 0.4380 0.2794
Hg1 0.2239 0.7761 0.1391
Hg2 0.7761 0.2239 0.6391
Cl1 0.0250 0.9750 0.4002
Cl2 0.0603 0.9397 0.1460
Cl3 0.2748 0.7252 0.7647
Cl4 0.2935 0.7065 0.5005
Cl5 0.3770 0.6230 0.0885
Cl6 0.6230 0.3770 0.5885
Cl7 0.7065 0.2935 0.0005
Cl8 0.7252 0.2748 0.2647
Cl9 0.9397 0.0603 0.6460
Cl10 0.9750 0.0250 0.9002
```

=====

This record from the Alexandria database describes a geometry-optimized BeIr2W structure. The functional is PBE.

## Properties
For the density of states at the Fermi level, the calculation gives 2.7 states/eV/f.u. The calculation puts the total energy at -8.722 eV/atom. The energy of formation comes out at -0.1218 eV per atom. For the theoretical density, the calculation gives 17.1 g/cm3.

```
data_BeIr2W
_chemical_formula_sum 'Be1 Ir2 W1'
_space_group_name_H-M_alt 'P 1'
_space_group_IT_number 1
_cell_length_a 4.5513
_cell_length_b 4.5513
_cell_length_c 2.7865
_cell_angle_alpha 90.00
_cell_angle_beta 90.00
_cell_angle_gamma 104.05
loop_
_space_group_symop_operation_xyz
'x,y,z'
loop_
_atom_site_label
_atom_site_fract_x
_atom_site_fract_y
_atom_site_fract_z
Be1 0.0000 0.0000 0.0000
Ir1 0.0000 0.5000 0.5000
Ir2 0.5000 0.0000 0.5000
W1 0.5000 0.5000 0.0000
```

=====

This record from the Alexandria database describes a geometry-optimized Pm6SiP3S2 structure. The functional is PBE.

## Properties
As for the formation energy from raw total energies: -1614.6 meV/atom. For the density of states at the Fermi level, the calculation gives 2.4 states/eV/f.u. The calculation puts the total energy at -6.482 eV/atom. For the theoretical density, the calculation gives 5.9 g/cm3.

```
data_Pm6SiP3S2
_chemical_formula_sum 'Pm6 Si1 P3 S2'
_space_group_name_H-M_alt 'P 1'
_space_group_IT_number 1
_cell_length_a 9.2193
_cell_length_b 9.2193
_cell_length_c 8.2619
_cell_angle_alpha 102.86
_cell_angle_beta 102.86
_cell_angle_gamma 25.79
loop_
_space_group_symop_operation_xyz
'x,y,z'
loop_
_atom_site_label
_atom_site_fract_x
_atom_site_fract_y
_atom_site_fract_z
Pm1 0.0001 0.0001 0.2470
Pm2 0.9999 0.9999 0.7530
Pm3 0.3325 0.3325 0.4203
Pm4 0.3353 0.3353 0.9117
Pm5 0.6647 0.6647 0.0883
Pm6 0.6675 0.6675 0.5797
Si1 0.5000 0.5000 0.5000
P1 0.1677 0.1677 0.3319
P2 0.5000 0.5000 0.0000
P3 0.8323 0.8323 0.6681
S1 0.1687 0.1687 0.8375
S2 0.8313 0.8313 0.1625
```

=====

- Which value of theoretical density does entry 4 give?
  5.9 g/cm3